#w
The following is a GGA-PBE calculation of Dy2ErCd4 after structural relaxation, from Alexandria.

a b c (Å): 5.307 5.307 13.767
angles (deg): 90.00 90.00 90.00
Atoms (fractional coordinates):
Dy (0.000, 0.000, 0.242)
Dy (0.000, 0.000, 0.758)
Dy (0.500, 0.500, 0.258)
Dy (0.500, 0.500, 0.742)
Er (0.000, 0.000, 0.500)
Er (0.500, 0.500, 0.000)
Cd (0.000, 0.500, 0.114)
Cd (0.000, 0.500, 0.386)
Cd (0.000, 0.500, 0.614)
Cd (0.000, 0.500, 0.886)
Cd (0.500, 0.000, 0.114)
Cd (0.500, 0.000, 0.386)
Cd (0.500, 0.000, 0.614)
Cd (0.500, 0.000, 0.886)

Properties
Space-group type: I4/mmm



#x
The following is a GGA-PBE calculation of Dy2ErCd4 after structural relaxation, from Alexandria.

a b c (Å): 5.572 5.572 15.573
angles (deg): 90.00 90.00 90.00
Atoms (fractional coordinates):
Dy (0.000, 0.000, 0.103)
Dy (0.000, 0.000, 0.897)
Dy (0.500, 0.500, 0.397)
Dy (0.500, 0.500, 0.603)
Er (0.000, 0.000, 0.500)
Er (0.500, 0.500, 0.000)
Cd (0.000, 0.000, 0.305)
Cd (0.000, 0.000, 0.695)
Cd (0.000, 0.500, 0.000)
Cd (0.000, 0.500, 0.500)
Cd (0.500, 0.000, 0.000)
Cd (0.500, 0.000, 0.500)
Cd (0.500, 0.500, 0.195)
Cd (0.500, 0.500, 0.805)

Properties
Space-group type: I4/mmm



Among the structures shown above, #w is the most stable, with the second-best lying 43.8 kJ/mol of atoms higher.